Entry 1:
## Tl3AuN (SCAN)

Data for a PBEsol-optimized structure of Tl3AuN.

The uncorrected formation energy is 1003 meV/atom. The spin magnetization is 1.724 μB per formula unit.

The space group is Pm-3m (No. 221) and the conventional cell measures 5.4094, 5.4094 and 5.4094 Å, with angles of 90.00, 90.00 and 90.00 degrees. The inequivalent atoms are Tl at (0.0000, 0.0000, 0.5000), Au at (0.0000, 0.0000, 0.0000) and N at (0.5000, 0.5000, 0.5000).

Entry 2:
## V3AuN (SCAN)

Data for a PBEsol-optimized structure of V3AuN.

The uncorrected formation energy is -749 meV/atom. The spin magnetization is 0.002 μB per formula unit.

The space group is Pm-3m (No. 221) and the conventional cell measures 3.9225, 3.9225 and 3.9225 Å, with angles of 90.00, 90.00 and 90.00 degrees. The inequivalent atoms are V at (0.0000, 0.0000, 0.5000), Au at (0.5000, 0.5000, 0.5000) and N at (0.0000, 0.0000, 0.0000).

Entry 3:
## WAu3N (SCAN)

Data for a PBEsol-optimized structure of WAu3N.

The uncorrected formation energy is 1500 meV/atom. The spin magnetization is 0.000 μB per formula unit.

The space group is Pm-3m (No. 221) and the conventional cell measures 4.2476, 4.2476 and 4.2476 Å, with angles of 90.00, 90.00 and 90.00 degrees. The inequivalent atoms are W at (0.0000, 0.0000, 0.0000), Au at (0.0000, 0.5000, 0.5000) and N at (0.5000, 0.5000, 0.5000).

Entry 4:
## Y3AuN (SCAN)

Data for a PBEsol-optimized structure of Y3AuN.

The uncorrected formation energy is -1242 meV/atom. The spin magnetization is 0.184 μB per formula unit.

The space group is Pm-3m (No. 221) and the conventional cell measures 4.6892, 4.6892 and 4.6892 Å, with angles of 90.00, 90.00 and 90.00 degrees. The inequivalent atoms are Y at (0.0000, 0.0000, 0.5000), Au at (0.5000, 0.5000, 0.5000) and N at (0.0000, 0.0000, 0.0000).

Entry 5:
## Zr3AuN (SCAN)

Data for a PBEsol-optimized structure of Zr3AuN.

The uncorrected formation energy is -1197 meV/atom. The spin magnetization is 0.000 μB per formula unit.

The space group is Pm-3m (No. 221) and the conventional cell measures 4.4106, 4.4106 and 4.4106 Å, with angles of 90.00, 90.00 and 90.00 degrees. The inequivalent atoms are Zr at (0.0000, 0.0000, 0.5000), Au at (0.5000, 0.5000, 0.5000) and N at (0.0000, 0.0000, 0.0000).

Entry 6:
## NaAu2 (SCAN)

Data for a PBEsol-optimized structure of NaAu2.

The calculation puts the energy of formation at -43.1 kJ/mol of atoms. The spin magnetization is 0.000 μB per formula unit.

The space group is Fd-3m (No. 227, origin choice 2) and the conventional cell measures 7.7805, 7.7805 and 7.7805 Å, with angles of 90.00, 90.00 and 90.00 degrees. The inequivalent atoms are Na at (0.1250, 0.1250, 0.1250) and Au at (0.0000, 0.0000, 0.5000).

Entry 7:
## NaNdAu2 (SCAN)

Data for a PBEsol-optimized structure of NaNdAu2.

The calculation puts the energy of formation at -73.5 kJ/mol of atoms. The spin magnetization is 0.000 μB per formula unit.

The space group is Fm-3m (No. 225) and the conventional cell measures 7.0743, 7.0743 and 7.0743 Å, with angles of 90.00, 90.00 and 90.00 degrees. The inequivalent atoms are Na at (0.0000, 0.0000, 0.0000), Nd at (0.0000, 0.0000, 0.5000) and Au at (0.2500, 0.2500, 0.2500).

Entry 8:
## NaNi2Au2 (SCAN)

Data for a PBEsol-optimized structure of NaNi2Au2.

The calculation puts the energy of formation at 6.1 kJ/mol of atoms. The spin magnetization is 1.951 μB per formula unit.

The space group is I4/mmm (No. 139) and the conventional cell measures 3.5719, 3.5719 and 12.7719 Å, with angles of 90.00, 90.00 and 90.00 degrees. The inequivalent atoms are Na at (0.0000, 0.0000, 0.0000), Ni at (0.0000, 0.5000, 0.2500) and Au at (0.0000, 0.0000, 0.3936).